(1)
Computed, not measured: a relaxed Li2Tc3 crystal at the PBE level of DFT.

Cell: 2.7094 2.7094 34.9109 Å, 90.00 90.00 120.00°
Space group R-3m (No. 166, hexagonal axes)
Inequivalent atoms, fractional coordinates:
Li 0.0000 0.0000 0.0996 x6
Tc 0.0000 0.0000 0.3038 x6
Tc 0.0000 0.0000 0.5000 x3

Summary:
Excess energy over the best structure of this formula in the dataset (meV per atom): 0
Magnetic moment (μB per atom): 0.177

---

(2)
Computed, not measured: a relaxed RbLaZnS crystal at the PBE level of DFT.

Cell: 4.013 4.189 16.285 Å, 90.00 90.00 90.00°
Space group Amm2 (No. 38)
Inequivalent atoms, fractional coordinates:
Rb 0.000 0.000 0.000 x2
La 0.000 0.000 0.729 x2
Zn 0.500 0.000 0.329 x2
S 0.500 0.000 0.613 x2

Summary:
Excess energy over the best structure of this formula in the dataset (meV per atom): 97
Magnetic moment (μB per atom): 0.000
Raw formation energy (eV/f.u.): -2.9

---

(3)
Computed, not measured: a relaxed BeAgOs crystal at the PBE level of DFT.

Cell: 2.7345 2.7345 6.3406 Å, 90.00 90.00 120.00°
Space group P3m1 (No. 156)
Inequivalent atoms, fractional coordinates:
Be 0.0000 0.0000 0.0000 x1
Ag 0.3333 0.6667 0.6763 x1
Os 0.6667 0.3333 0.2807 x1

Summary:
Excess energy over the best structure of this formula in the dataset (meV per atom): 0
Magnetic moment (μB per atom): 0.000

---

(4)
Computed, not measured: a relaxed BeZnBr2 crystal at the PBE level of DFT.

Cell: 3.765 3.765 15.394 Å, 90.00 90.00 90.00°
Space group I-4m2 (No. 119)
Inequivalent atoms, fractional coordinates:
Be 0.000 0.000 0.000 x2
Zn 0.000 0.500 0.250 x2
Br 0.000 0.000 0.500 x2
Br 0.000 0.500 0.750 x2

Summary:
Excess energy over the best structure of this formula in the dataset (meV per atom): 622
Magnetic moment (μB per atom): 0.000
Raw formation energy (eV/f.u.): 1.1

---

(5)
Computed, not measured: a relaxed Cd5Pd2Pt2 crystal at the PBE level of DFT.

Cell: 13.887 7.019 7.213 Å, 90.00 90.00 90.00°
Space group Cmce (No. 64)
Inequivalent atoms, fractional coordinates:
Cd 0.000 0.000 0.000 x4
Cd 0.141 0.163 0.335 x16
Pd 0.000 0.136 0.637 x8
Pt 0.201 0.000 0.000 x8

Summary:
Magnetic moment (μB per atom): 0.000
DFT total energy (eV/f.u.): -28.9

---

(6)
Computed, not measured: a relaxed Sc3IrCl crystal at the PBE level of DFT.

Cell: 4.642 4.642 4.642 Å, 90.00 90.00 90.00°
Space group Pm-3m (No. 221)
Inequivalent atoms, fractional coordinates:
Sc 0.000 0.000 0.500 x3
Ir 0.500 0.500 0.500 x1
Cl 0.000 0.000 0.000 x1

Summary:
Excess energy over the best structure of this formula in the dataset (meV per atom): 123
Magnetic moment (μB per atom): 0.000
Raw formation energy (eV/f.u.): -1.4

---

(7)
Computed, not measured: a relaxed TiCl3 crystal at the PBE level of DFT.

Cell: 6.634 6.634 6.634 Å, 90.00 90.00 90.00°
Space group Fm-3m (No. 225)
Inequivalent atoms, fractional coordinates:
Ti 0.000 0.000 0.000 x4
Cl 0.000 0.000 0.500 x4
Cl 0.250 0.250 0.250 x8

Summary:
Magnetic moment (μB per atom): 0.250
Raw formation energy (eV/f.u.): -2.0

---

(8)
Computed, not measured: a relaxed Tb2Dy4Mg crystal at the PBE level of DFT.

Cell: 13.327 20.072 6.675 Å, 90.00 90.00 90.00°
Space group Ccce (No. 68, origin choice 2)
Inequivalent atoms, fractional coordinates:
Tb 0.000 0.001 0.250 x8
Tb 0.249 0.250 0.750 x8
Dy 0.066 0.165 0.001 x16
Dy 0.172 0.120 0.500 x16
Mg 0.250 0.000 0.250 x8

Summary:
Excess energy over the best structure of this formula in the dataset (meV per atom): 106
Magnetic moment (μB per atom): 0.000

---

(9)
Computed, not measured: a relaxed LaRh crystal at the PBE level of DFT.

Cell: 3.9674 3.9674 7.4001 Å, 90.00 90.00 120.00°
Space group P6_3/mmc (No. 194)
Inequivalent atoms, fractional coordinates:
La 0.0000 0.0000 0.0000 x2
Rh 0.3333 0.6667 0.2500 x2

Summary:
Magnetic moment (μB per atom): 0.000
DFT total energy (eV/f.u.): -13.3

---

(10)
Computed, not measured: a relaxed Er3FeTe crystal at the PBE level of DFT.

Cell: 8.209 3.922 8.319 Å, 90.00 108.50 90.00°
Space group P2_1/m (No. 11)
Inequivalent atoms, fractional coordinates:
Er 0.064 0.250 0.239 x2
Er 0.309 0.250 0.923 x2
Er 0.316 0.750 0.591 x2
Fe 0.054 0.250 0.569 x2
Te 0.377 0.750 0.234 x2

Summary:
Magnetic moment (μB per atom): 0.196
Raw formation energy (eV/f.u.): -2.8

---

(11)
Computed, not measured: a relaxed LaSm2Co crystal at the PBE level of DFT.

Cell: 3.7176 3.7176 31.4124 Å, 90.00 90.00 120.00°
Space group R-3m (No. 166, hexagonal axes)
Inequivalent atoms, fractional coordinates:
La 0.0000 0.0000 0.0000 x3
Sm 0.0000 0.0000 0.1153 x6
Co 0.0000 0.0000 0.5000 x3

Summary:
Excess energy over the best structure of this formula in the dataset (meV per atom): 253
Magnetic moment (μB per atom): 0.001

---

(12)
Computed, not measured: a relaxed La2TmPt crystal at the PBE level of DFT.

Cell: 3.8451 3.8451 32.0055 Å, 90.00 90.00 120.00°
Space group R-3m (No. 166, hexagonal axes)
Inequivalent atoms, fractional coordinates:
La 0.0000 0.0000 0.1081 x6
Tm 0.0000 0.0000 0.0000 x3
Pt 0.0000 0.0000 0.5000 x3

Summary:
Excess energy over the best structure of this formula in the dataset (meV per atom): 226
Magnetic moment (μB per atom): 0.000